This record from the Alexandria database describes a geometry-optimized CrSeCl2 structure. The functional is PBE.

```
data_CrSeCl2
_chemical_formula_sum 'Cr1 Se1 Cl2'
_cell_length_a 3.0441
_cell_length_b 3.0441
_cell_length_c 10.7501
_cell_angle_alpha 90.00
_cell_angle_beta 90.00
_cell_angle_gamma 90.00
_space_group_name_H-M_alt 'P 4/m m m'
_space_group_IT_number 123
_space_group_name_Hall '-P 4 2'
loop_
_atom_site_label
_atom_site_type_symbol
_atom_site_fract_x
_atom_site_fract_y
_atom_site_fract_z
_atom_site_occupancy
Cr1 Cr 0.0000 0.0000 0.0000 1
Se1 Se 0.0000 0.0000 0.5000 1
Cl1 Cl 0.5000 0.5000 0.1408 1
```

Computed properties:
The formation energy (no corrections) is -0.13 eV/atom. The value obtained for the energy above the most stable polymorph in this dataset is 503 meV/atom. The total energy comes out at -4.33 eV/atom.


This record from the Alexandria database describes a geometry-optimized CrSe3Cl structure. The functional is PBE.

```
data_CrSe3Cl
_chemical_formula_sum 'Cr1 Se3 Cl1'
_cell_length_a 4.7298
_cell_length_b 4.7298
_cell_length_c 4.7298
_cell_angle_alpha 90.00
_cell_angle_beta 90.00
_cell_angle_gamma 90.00
_space_group_name_H-M_alt 'P m -3 m'
_space_group_IT_number 221
_space_group_name_Hall '-P 4 2 3'
loop_
_atom_site_label
_atom_site_type_symbol
_atom_site_fract_x
_atom_site_fract_y
_atom_site_fract_z
_atom_site_occupancy
Cr1 Cr 0.0000 0.0000 0.0000 1
Se1 Se 0.0000 0.0000 0.5000 1
Cl1 Cl 0.5000 0.5000 0.5000 1
```

Computed properties:
The formation energy (no corrections) is 0.20 eV/atom. The value obtained for the energy above the most stable polymorph in this dataset is 0 meV/atom. The total energy comes out at -4.18 eV/atom.


This record from the Alexandria database describes a geometry-optimized Cr2Se2Cl structure. The functional is PBE.

```
data_Cr2Se2Cl
_chemical_formula_sum 'Cr4 Se4 Cl2'
_cell_length_a 4.5248
_cell_length_b 4.5248
_cell_length_c 11.8962
_cell_angle_alpha 90.00
_cell_angle_beta 90.00
_cell_angle_gamma 90.00
_space_group_name_H-M_alt 'I 4/m m m'
_space_group_IT_number 139
_space_group_name_Hall '-I 4 2'
loop_
_atom_site_label
_atom_site_type_symbol
_atom_site_fract_x
_atom_site_fract_y
_atom_site_fract_z
_atom_site_occupancy
Cr1 Cr 0.0000 0.0000 0.1601 1
Se1 Se 0.0000 0.5000 0.2500 1
Cl1 Cl 0.0000 0.0000 0.5000 1
```

Computed properties:
The formation energy (no corrections) is -0.09 eV/atom. The value obtained for the energy above the most stable polymorph in this dataset is 461 meV/atom. The total energy comes out at -5.70 eV/atom.


> Number 2 is which compound?

CrSe3Cl


> Which of these has the highest formation energy (no corrections)?

CrSe3Cl


> Among the records above, which one has the lowest formation energy (no corrections)?

CrSeCl2


Please write out number 2 again, unchanged.
This record from the Alexandria database describes a geometry-optimized CrSe3Cl structure. The functional is PBE.

```
data_CrSe3Cl
_chemical_formula_sum 'Cr1 Se3 Cl1'
_cell_length_a 4.7298
_cell_length_b 4.7298
_cell_length_c 4.7298
_cell_angle_alpha 90.00
_cell_angle_beta 90.00
_cell_angle_gamma 90.00
_space_group_name_H-M_alt 'P m -3 m'
_space_group_IT_number 221
_space_group_name_Hall '-P 4 2 3'
loop_
_atom_site_label
_atom_site_type_symbol
_atom_site_fract_x
_atom_site_fract_y
_atom_site_fract_z
_atom_site_occupancy
Cr1 Cr 0.0000 0.0000 0.0000 1
Se1 Se 0.0000 0.0000 0.5000 1
Cl1 Cl 0.5000 0.5000 0.5000 1
```

Computed properties:
The formation energy (no corrections) is 0.20 eV/atom. The value obtained for the energy above the most stable polymorph in this dataset is 0 meV/atom. The total energy comes out at -4.18 eV/atom.